No. 1
An optimized crystal structure of Sc2SiTe. Source: Alexandria via LeMat-Bulk, functional PBE-GGA.

electronic total energy: -21.56 eV per formula unit
energy relative to the lowest polymorph listed for this composition: 860 meV per atom
mass density: 3.693 g/cm³
DOS at the Fermi energy: 3.81 states/eV/f.u.

Geometry as extended XYZ:
```
4
Lattice="-4.472 -6.991 4.086 -1.998 -6.004 6.748 -5.245 -4.127 6.406" Properties=species:S:1:pos:R:3 pbc="T T T"
Sc -10.574 -15.455 15.561
Sc -1.141 -1.668 1.680
Si 0.000 0.000 0.000
Te -5.858 -8.562 8.620
```

***

No. 2
An optimized crystal structure of Sc3SiTe. Source: Alexandria via LeMat-Bulk, functional PBE-GGA.

electronic total energy: -29.37 eV per formula unit
energy relative to the lowest polymorph listed for this composition: 0 meV per atom
mass density: 3.846 g/cm³
DOS at the Fermi energy: 6.65 states/eV/f.u.

Geometry as extended XYZ:
```
5
Lattice="5.006 0.000 0.000 0.000 5.006 0.000 0.000 0.000 5.006" Properties=species:S:1:pos:R:3 pbc="T T T"
Sc 0.000 2.503 0.000
Sc 0.000 0.000 2.503
Sc 2.503 0.000 0.000
Si 0.000 0.000 0.000
Te 2.503 2.503 2.503
```

***

No. 3
An optimized crystal structure of ScSi2Te. Source: Alexandria via LeMat-Bulk, functional PBE-GGA.

electronic total energy: -20.82 eV per formula unit
mass density: 4.517 g/cm³
DOS at the Fermi energy: 1.47 states/eV/f.u.

Geometry as extended XYZ:
```
4
Lattice="-2.275 -2.022 2.203 2.684 0.180 2.936 -0.947 4.825 3.451" Properties=species:S:1:pos:R:3 pbc="T T T"
Sc 0.166 2.743 5.892
Si -0.668 4.610 3.542
Si 0.590 2.717 3.103
Te -0.703 0.240 2.698
```

***

No. 4
An optimized crystal structure of Sc2SiTe. Source: Alexandria via LeMat-Bulk, functional PBE-GGA.

electronic total energy: -24.57 eV per formula unit
energy relative to the lowest polymorph listed for this composition: 108 meV per atom
mass density: 4.445 g/cm³
DOS at the Fermi energy: 1.31 states/eV/f.u.

Geometry as extended XYZ:
```
4
Lattice="-2.856 4.060 -2.717 -2.993 -2.594 -0.730 -1.769 1.068 3.455" Properties=species:S:1:pos:R:3 pbc="T T T"
Sc -4.168 -1.336 2.384
Sc -3.213 1.458 -0.336
Si -1.786 -0.573 1.022
Te -5.595 0.695 1.026
```

***

No. 5
An optimized crystal structure of ScSiTe2. Source: Alexandria via LeMat-Bulk, functional PBE-GGA.

electronic total energy: -18.77 eV per formula unit
mass density: 5.641 g/cm³
DOS at the Fermi energy: 2.35 states/eV/f.u.

Geometry as extended XYZ:
```
4
Lattice="-1.083 1.396 6.077 2.255 -3.291 4.913 1.810 2.644 -5.457" Properties=species:S:1:pos:R:3 pbc="T T T"
Sc 0.586 -0.947 5.495
Si 0.656 1.546 3.057
Te 0.000 0.000 0.000
Te 2.325 -0.797 2.475
```

***

No. 6
An optimized crystal structure of Sc4SiTe. Source: Alexandria via LeMat-Bulk, functional PBE-GGA.

electronic total energy: -33.43 eV per formula unit
energy relative to the lowest polymorph listed for this composition: 740 meV per atom
mass density: 4.169 g/cm³
DOS at the Fermi energy: 7.82 states/eV/f.u.

Geometry as extended XYZ:
```
6
Lattice="0.000 4.058 4.058 4.058 0.000 4.058 4.058 4.058 0.000" Properties=species:S:1:pos:R:3 pbc="T T T"
Sc 3.051 5.064 5.064
Sc 5.064 5.064 3.051
Sc 5.064 3.051 5.064
Sc 3.051 3.051 3.051
Si 6.087 6.087 6.087
Te 0.000 0.000 0.000
```

***

No. 7
An optimized crystal structure of ScSiTe2. Source: Alexandria via LeMat-Bulk, functional PBE-GGA.

electronic total energy: -18.83 eV per formula unit
mass density: 5.492 g/cm³
DOS at the Fermi energy: 2.77 states/eV/f.u.

Geometry as extended XYZ:
```
4
Lattice="-3.143 2.798 0.644 0.662 -0.611 5.888 2.604 2.922 0.011" Properties=species:S:1:pos:R:3 pbc="T T T"
Sc -0.269 2.860 0.327
Si 1.633 1.155 2.950
Te 0.000 0.000 0.000
Te -1.240 1.093 3.266
```

***

No. 8
An optimized crystal structure of Sc2SiTe. Source: Alexandria via LeMat-Bulk, functional PBE-GGA.

electronic total energy: -23.63 eV per formula unit
energy relative to the lowest polymorph listed for this composition: 342 meV per atom
mass density: 4.706 g/cm³
DOS at the Fermi energy: 2.86 states/eV/f.u.

Geometry as extended XYZ:
```
4
Lattice="-4.867 1.217 -0.487 0.760 -1.437 -4.771 -1.447 -3.247 0.110" Properties=species:S:1:pos:R:3 pbc="T T T"
Sc 0.000 0.000 0.000
Sc -2.053 -0.110 -2.629
Si -3.157 -1.015 -0.189
Te -0.344 -2.342 -2.330
```

***

No. 9
An optimized crystal structure of ScSiTe2. Source: Alexandria via LeMat-Bulk, functional PBE-GGA.

electronic total energy: -18.97 eV per formula unit
mass density: 5.780 g/cm³
DOS at the Fermi energy: 2.22 states/eV/f.u.

Geometry as extended XYZ:
```
4
Lattice="3.641 0.024 0.000 -0.026 3.641 0.000 0.000 0.000 7.114" Properties=species:S:1:pos:R:3 pbc="T T T"
Sc 1.808 1.832 1.778
Si 1.808 1.832 5.335
Te 0.000 0.000 0.094
Te 0.000 0.000 3.463
```

***

No. 10
An optimized crystal structure of ScSi2Te2. Source: Alexandria via LeMat-Bulk, functional PBE-GGA.

electronic total energy: -23.80 eV per formula unit
energy relative to the lowest polymorph listed for this composition: 0 meV per atom
mass density: 5.372 g/cm³
DOS at the Fermi energy: 2.09 states/eV/f.u.

Geometry as extended XYZ:
```
10
Lattice="-5.601 4.210 2.264 -3.088 -0.525 -6.665 -2.013 -3.320 1.194" Properties=species:S:1:pos:R:3 pbc="T T T"
Sc 0.000 0.000 0.000
Sc -4.345 1.843 -2.200
Si -4.838 1.135 -5.001
Si -6.841 3.375 -2.148
Si -3.851 2.551 0.600
Si -1.848 0.310 -2.253
Te -4.281 -1.189 -3.612
Te -7.396 0.863 -3.157
Te -6.421 1.553 0.405
Te -3.307 -0.498 -0.050
```

***

No. 11
An optimized crystal structure of ScSi2Te. Source: Alexandria via LeMat-Bulk, functional PBE-GGA.

electronic total energy: -20.28 eV per formula unit
mass density: 4.759 g/cm³
DOS at the Fermi energy: 2.27 states/eV/f.u.

Geometry as extended XYZ:
```
4
Lattice="4.857 -0.139 0.000 -1.218 4.704 0.000 0.000 0.000 3.518" Properties=species:S:1:pos:R:3 pbc="T T T"
Sc -0.609 2.352 1.759
Si 0.000 0.000 0.000
Si 1.820 2.283 0.000
Te 2.429 -0.070 1.759
```

***

No. 12
An optimized crystal structure of ScSi2Te. Source: Alexandria via LeMat-Bulk, functional PBE-GGA.

electronic total energy: -21.68 eV per formula unit
mass density: 4.545 g/cm³
DOS at the Fermi energy: 1.70 states/eV/f.u.

Geometry as extended XYZ:
```
4
Lattice="3.810 0.000 0.000 0.000 4.015 0.000 0.000 1.823 5.464" Properties=species:S:1:pos:R:3 pbc="T T T"
Sc 1.905 4.931 4.004
Si 0.000 3.737 0.548
Si 1.905 1.198 0.651
Te 0.000 2.906 2.993
```

***

No. 13
An optimized crystal structure of Sc2SiTe. Source: Alexandria via LeMat-Bulk, functional PBE-GGA.

electronic total energy: -25.00 eV per formula unit
energy relative to the lowest polymorph listed for this composition: 0 meV per atom
mass density: 4.424 g/cm³
DOS at the Fermi energy: 0.84 states/eV/f.u.

Geometry as extended XYZ:
```
4
Lattice="-1.646 1.375 3.355 -3.891 0.842 0.112 -3.154 -5.556 3.096" Properties=species:S:1:pos:R:3 pbc="T T T"
Sc -5.581 2.005 3.533
Sc -4.301 -1.459 3.216
Si -2.173 -0.835 1.641
Te -6.518 -2.504 4.923
```

***

No. 14
An optimized crystal structure of Sc5Si2Te2. Source: Alexandria via LeMat-Bulk, functional PBE-GGA.

electronic total energy: -57.52 eV per formula unit
mass density: 4.634 g/cm³
DOS at the Fermi energy: 9.77 states/eV/f.u.

Geometry as extended XYZ:
```
18
Lattice="-5.608 1.996 4.227 -4.439 -4.387 -3.819 -1.334 -4.413 6.620" Properties=species:S:1:pos:R:3 pbc="T T T"
Sc 0.000 0.000 0.000
Sc -5.024 -1.195 0.204
Sc -4.313 -3.151 6.289
Sc -9.124 -5.409 5.147
Sc -5.585 -5.681 3.665
Sc -7.852 -2.878 7.770
Sc -7.068 -3.652 0.739
Sc -2.258 -1.394 1.881
Sc -5.796 -1.122 3.363
Sc -3.530 -3.925 -0.742
Si -2.380 -1.371 -0.870
Si -7.668 -1.019 1.278
Si -5.944 -3.085 -1.765
Si -4.103 0.695 2.173
Te -1.940 -2.180 4.760
Te -6.964 -3.375 4.964
Te -5.002 -0.237 6.086
Te -4.417 -3.428 2.064
```

***

No. 15
An optimized crystal structure of ScSiTe2. Source: Alexandria via LeMat-Bulk, functional PBE-GGA.

electronic total energy: -19.22 eV per formula unit
mass density: 5.634 g/cm³
DOS at the Fermi energy: 1.52 states/eV/f.u.

Geometry as extended XYZ:
```
4
Lattice="-2.511 -2.773 -0.199 2.316 -1.934 -2.275 4.299 -4.182 4.034" Properties=species:S:1:pos:R:3 pbc="T T T"
Sc 0.398 -2.915 0.340
Si 3.705 -5.973 1.219
Te 2.081 -1.744 -1.964
Te 3.542 -3.248 0.568
```

***

No. 16
An optimized crystal structure of Sc2SiTe. Source: Alexandria via LeMat-Bulk, functional PBE-GGA.

electronic total energy: -21.43 eV per formula unit
energy relative to the lowest polymorph listed for this composition: 893 meV per atom
mass density: 4.469 g/cm³
DOS at the Fermi energy: 3.89 states/eV/f.u.

Geometry as extended XYZ:
```
4
Lattice="-7.699 2.328 4.756 -9.083 0.952 1.976 -8.097 -1.038 4.546" Properties=species:S:1:pos:R:3 pbc="T T T"
Sc -24.762 2.231 11.225
Sc -18.870 1.700 8.554
Si -12.422 1.119 5.631
Te -6.142 0.553 2.784
```

***

No. 17
An optimized crystal structure of Sc3Si5Te12. Source: Alexandria via LeMat-Bulk, functional PBE-GGA.

electronic total energy: -89.67 eV per formula unit
mass density: 5.080 g/cm³
DOS at the Fermi energy: 5.46 states/eV/f.u.

Geometry as extended XYZ:
```
80
Lattice="14.531 0.000 0.000 -4.844 13.700 0.000 -4.844 -6.850 11.865" Properties=species:S:1:pos:R:3 pbc="T T T"
Sc 8.477 4.281 1.483
Sc 8.477 9.419 1.483
Sc -1.211 5.994 7.415
Sc 1.211 -0.856 4.449
Sc 10.899 0.000 2.966
Sc 1.211 6.850 2.966
Sc 3.633 0.000 8.899
Sc -6.055 6.850 8.899
Sc 3.633 7.706 7.415
Sc 6.055 0.856 4.449
Sc -3.633 -2.569 10.382
Sc -3.633 2.569 10.382
Si -1.211 3.425 2.966
Si -2.422 6.850 0.000
Si 0.000 0.000 0.000
Si 3.633 2.569 1.483
Si 4.844 -3.425 5.932
Si 4.844 6.850 0.000
Si -3.633 7.706 4.449
Si 6.055 -4.281 10.382
Si 6.055 5.994 4.449
Si 1.211 -3.425 8.899
Si 3.633 10.275 2.966
Si 2.422 3.425 5.932
Si 7.266 0.000 0.000
Si -2.422 -3.425 5.932
Si -1.211 0.856 7.415
Si -1.211 11.131 1.483
Si -4.844 3.425 5.932
Si 8.477 -0.856 7.415
Si 1.211 4.281 10.382
Si 6.055 3.425 8.899
Te 9.582 1.521 0.488
Te 0.105 4.608 4.859
Te 10.778 3.109 3.358
Te 6.175 2.072 1.561
Te 1.760 5.193 8.019
Te 10.222 6.884 2.087
Te -1.091 7.888 4.919
Te -3.753 11.629 1.561
Te 0.661 8.507 8.019
Te 6.731 6.816 2.087
Te 7.371 3.763 4.372
Te 7.371 12.180 0.488
Te -4.182 6.116 6.420
Te 2.956 5.026 1.014
Te -4.949 9.937 4.372
Te 2.527 -2.242 7.005
Te -0.661 0.923 2.574
Te 2.956 8.640 1.073
Te 6.175 10.591 3.358
Te -0.535 5.060 1.073
Te -3.083 7.773 9.290
Te 3.513 5.813 4.919
Te 6.604 7.584 6.420
Te 5.378 -1.824 10.851
Te 1.331 1.038 6.946
Te -1.760 -0.734 5.445
Te -0.535 8.674 1.014
Te -1.331 -3.741 8.507
Te 7.927 -0.923 2.574
Te 5.378 1.790 10.792
Te 1.887 -1.790 10.792
Te 2.317 9.092 4.859
Te 5.505 5.927 9.290
Te 9.793 -3.087 7.493
Te 9.026 0.734 5.445
Te -2.527 -5.330 11.377
Te 1.887 1.824 10.851
Te 4.182 -1.657 3.846
Te -1.887 0.034 9.778
Te -2.527 3.087 7.493
Te 8.597 -4.779 10.304
Te 5.935 -1.038 6.946
Te -1.331 4.779 10.304
Te -5.378 -0.034 9.778
Te 3.083 1.657 3.846
Te -5.935 3.741 8.507
Te 4.739 2.242 7.005
Te -4.739 5.330 11.377
```

***

No. 18
An optimized crystal structure of ScSi2Te. Source: Alexandria via LeMat-Bulk, functional PBE-GGA.

electronic total energy: -19.75 eV per formula unit
mass density: 4.340 g/cm³
DOS at the Fermi energy: 2.80 states/eV/f.u.

Geometry as extended XYZ:
```
4
Lattice="7.420 -0.013 -0.008 6.466 3.639 -0.008 6.466 1.688 3.224" Properties=species:S:1:pos:R:3 pbc="T T T"
Sc 15.264 3.985 2.406
Si 0.002 0.000 0.000
Si 10.174 2.657 1.604
Te 5.088 1.328 0.802
```

***

No. 19
An optimized crystal structure of ScSiTe2. Source: Alexandria via LeMat-Bulk, functional PBE-GGA.

electronic total energy: -19.37 eV per formula unit
mass density: 5.219 g/cm³
DOS at the Fermi energy: 2.20 states/eV/f.u.

Geometry as extended XYZ:
```
4
Lattice="-0.305 -2.580 -2.592 3.553 -0.826 0.405 -1.834 -5.230 5.423" Properties=species:S:1:pos:R:3 pbc="T T T"
Sc -0.945 -2.694 2.793
Si 0.252 -5.615 2.962
Te -1.660 -4.735 4.909
Te 1.015 -3.439 0.706
```

***

No. 20
An optimized crystal structure of Sc2SiTe. Source: Alexandria via LeMat-Bulk, functional PBE-GGA.

electronic total energy: -24.01 eV per formula unit
energy relative to the lowest polymorph listed for this composition: 248 meV per atom
mass density: 4.685 g/cm³
DOS at the Fermi energy: 1.86 states/eV/f.u.

Geometry as extended XYZ:
```
4
Lattice="5.640 0.011 -0.001 4.376 3.558 -0.001 0.001 0.000 4.348" Properties=species:S:1:pos:R:3 pbc="T T T"
Sc 0.010 0.004 3.804
Sc 2.589 0.922 1.630
Si 5.113 1.821 1.630
Te 7.314 2.606 3.803
```

***

One value per record, in order, for total moment: 0.0000, 0.0000, 0.0000, 0.0000, 0.0000, 0.0002, 0.0000, 0.0001, 0.0000, 0.0000, 0.0000, 0.0000, 0.0000, 0.0004, 0.0000, 0.1027, 0.0000, 0.0000, 0.0000, 0.0000 μB per atom.
One value per record, in order, for raw formation energy: -82, -362, -126, -834, -182, 76, -197, -600, -234, -69, 11, -341, -942, -971, -296, -50, -293, 143, -334, -695 meV/atom.